1.
The following is a DFT calculation (PBE) of crystalline LiEr6P2Se3 at its relaxed geometry.

## Properties
Volume in Å³/f.u.: 278
Total energy in eV per atom: -5.57
Uncorrected formation energy in eV/atom: -1.359

Cell and atoms, written as CIF:
```
data_LiEr6P2Se3
_chemical_formula_sum 'Li1 Er6 P2 Se3'
_cell_length_a 9.0137
_cell_length_b 9.0137
_cell_length_c 8.1264
_cell_angle_alpha 103.25
_cell_angle_beta 103.25
_cell_angle_gamma 25.63
_space_group_name_H-M_alt 'P 1'
_space_group_IT_number 1
_space_group_name_Hall 'P 1'
loop_
_atom_site_label
_atom_site_type_symbol
_atom_site_fract_x
_atom_site_fract_y
_atom_site_fract_z
Li1 Li 0.0000 0.0000 0.0000
Er1 Er 0.1708 0.1708 0.1016
Er2 Er 0.1725 0.1725 0.5717
Er3 Er 0.4948 0.4948 0.7388
Er4 Er 0.5052 0.5052 0.2612
Er5 Er 0.8275 0.8275 0.4283
Er6 Er 0.8292 0.8292 0.8984
P1 P 0.3334 0.3334 0.6656
P2 P 0.6666 0.6666 0.3344
Se1 Se 0.0000 0.0000 0.5000
Se2 Se 0.3344 0.3344 0.1675
Se3 Se 0.6656 0.6656 0.8325
```



2.
The following is a DFT calculation (PBE) of crystalline Rb3SrS2O8 at its relaxed geometry.

## Properties
Volume in Å³/f.u.: 283
Total energy in eV per atom: -5.53
Uncorrected formation energy in eV/atom: -1.783

Cell and atoms, written as CIF:
```
data_Rb3SrS2O8
_chemical_formula_sum 'Rb3 Sr1 S2 O8'
_cell_length_a 6.1922
_cell_length_b 6.1922
_cell_length_c 8.5175
_cell_angle_alpha 90.00
_cell_angle_beta 90.00
_cell_angle_gamma 120.00
_space_group_name_H-M_alt 'P 1'
_space_group_IT_number 1
_space_group_name_Hall 'P 1'
loop_
_atom_site_label
_atom_site_type_symbol
_atom_site_fract_x
_atom_site_fract_y
_atom_site_fract_z
Rb1 Rb 0.0000 0.0000 0.0000
Rb2 Rb 0.3333 0.6667 0.7502
Rb3 Rb 0.6667 0.3333 0.2498
Sr1 Sr 0.0000 0.0000 0.5000
S1 S 0.3333 0.6667 0.2839
S2 S 0.6667 0.3333 0.7161
O1 O 0.2012 0.4024 0.3444
O2 O 0.2012 0.7988 0.3444
O3 O 0.3333 0.6667 0.1101
O4 O 0.4024 0.2012 0.6556
O5 O 0.5976 0.7988 0.3444
O6 O 0.6667 0.3333 0.8899
O7 O 0.7988 0.2012 0.6556
O8 O 0.7988 0.5976 0.6556
```